VASP calculation (PBE with a Hubbard U) on a geometry-optimized LiTb2MnO5 structure.

Structure (CIF):
```
data_LiTb2MnO5
_cell_length_a 6.479
_cell_length_b 6.479
_cell_length_c 5.696
_cell_angle_alpha 90.00
_cell_angle_beta 90.00
_cell_angle_gamma 90.00
_symmetry_space_group_name_H-M 'P 4/m b m'
_symmetry_Int_Tables_number 127
_symmetry_space_group_name_Hall '-P 4 2ab'
loop_
_atom_site_label
_atom_site_type_symbol
_atom_site_fract_x
_atom_site_fract_y
_atom_site_fract_z
Li1 Li 0.000 0.000 0.000
Tb1 Tb 0.177 0.323 0.500
Mn1 Mn 0.000 0.500 0.000
O1 O 0.000 0.000 0.500
O2 O 0.139 0.639 0.243
```

Values from the calculation:
Its uncorrected energy is -7.3720 eV/atom. Its crystal system is tetragonal.

***

VASP calculation (PBE with a Hubbard U) on a geometry-optimized LiTb2MnO6 structure.

Structure (CIF):
```
data_LiTb2MnO6
_cell_length_a 5.265
_cell_length_b 5.706
_cell_length_c 9.038
_cell_angle_alpha 90.00
_cell_angle_beta 124.47
_cell_angle_gamma 90.00
_symmetry_space_group_name_H-M 'P 1 21/c 1'
_symmetry_Int_Tables_number 14
_symmetry_space_group_name_Hall '-P 2ybc'
loop_
_atom_site_label
_atom_site_type_symbol
_atom_site_fract_x
_atom_site_fract_y
_atom_site_fract_z
Li1 Li 0.000 0.000 0.000
Tb1 Tb 0.227 0.081 0.748
Mn1 Mn 0.500 0.000 0.500
O1 O 0.150 0.179 0.449
O2 O 0.271 0.710 0.443
O3 O 0.365 0.035 0.256
```

Values from the calculation:
Its uncorrected energy is -7.3153 eV/atom. Its crystal system is monoclinic.

***

VASP calculation (PBE with a Hubbard U) on a geometry-optimized Li2MnTeO structure.

Structure (CIF):
```
data_Li2MnTeO
_cell_length_a 4.262
_cell_length_b 4.262
_cell_length_c 4.251
_cell_angle_alpha 90.00
_cell_angle_beta 90.00
_cell_angle_gamma 90.00
_symmetry_space_group_name_H-M 'P 4/m m m'
_symmetry_Int_Tables_number 123
_symmetry_space_group_name_Hall '-P 4 2'
loop_
_atom_site_label
_atom_site_type_symbol
_atom_site_fract_x
_atom_site_fract_y
_atom_site_fract_z
Li1 Li 0.000 0.500 0.000
Mn1 Mn 0.000 0.000 0.500
Te1 Te 0.500 0.500 0.500
O1 O 0.000 0.000 0.000
```

Values from the calculation:
Its uncorrected energy is -5.1322 eV/atom. Its crystal system is tetragonal.

***

Number 1: density of states at the Fermi level 0.000 states/eV/cell. Number 2: density of states at the Fermi level 15.189 states/eV/cell. Number 3: density of states at the Fermi level 0.005 states/eV/cell.